## Y2NiAu (PBE-GGA)

Data for a geometry-optimized Y2NiAu structure.

The structure belongs to space group Imm2 (No. 44); the cell edges are 3.4865, 4.5635 and 11.0123 Å and the angles 90.00°, 90.00° and 90.00°. The asymmetric unit holds Y at (0.0000, 0.0000, 0.0000), Y at (0.0000, 0.5000, 0.2140), Ni at (0.0000, 0.0000, 0.4815) and Au at (0.0000, 0.5000, 0.7904).

The formation energy is -423 meV per atom. The value obtained for the total energy is -5.919 eV/atom. The calculation puts the total magnetization at 0.00 μB per formula unit. As for the density of states at the Fermi level: 0.8874 states/eV per atom.

---

## NaPr2PaO6 (PBE-GGA)

Data for a geometry-optimized NaPr2PaO6 structure.

The structure belongs to space group R3 (No. 146, hexagonal axes); the cell edges are 6.0875, 6.0875 and 15.6191 Å and the angles 90.00°, 90.00° and 120.00°. The asymmetric unit holds Na at (0.0000, 0.0000, 0.0000), Pr at (0.0000, 0.0000, 0.2723), Pr at (0.0000, 0.0000, 0.7785), Pa at (0.0000, 0.0000, 0.4874), O at (0.0093, 0.7355, 0.3940) and O at (0.0346, 0.3404, 0.5493).

The value obtained for the total energy is -8.180 eV/atom. The calculation puts the total magnetization at 0.00 μB per formula unit. As for the density of states at the Fermi level: 0.0000 states/eV per atom. The uncorrected formation energy is -3.17 eV per atom.

---

## Fe2Mo2Cl7 (PBE-GGA)

Data for a geometry-optimized Fe2Mo2Cl7 structure.

The structure belongs to space group C2/c (No. 15); the cell edges are 10.4188, 10.6914 and 12.8009 Å and the angles 90.00°, 106.27° and 90.00°. The asymmetric unit holds Fe at (0.1152, 0.2281, 0.2698), Mo at (0.1046, 0.4868, 0.0181), Cl at (0.0000, 0.0440, 0.2500), Cl at (0.1523, 0.2854, 0.1044), Cl at (0.1526, 0.3811, 0.6727) and Cl at (0.1904, 0.3794, 0.4022).

The value obtained for the total energy is -5.170 eV/atom. The calculation puts the total magnetization at 7.03 μB per formula unit. As for the density of states at the Fermi level: 0.0704 states/eV per atom. The uncorrected formation energy is -0.49 eV per atom.